No. 1
Computed, not measured: a geometry-optimized Fe4Se5 structure at the PBE-GGA level of DFT.

Unit cell a=7.042 b=7.042 c=7.042 alpha=93.29 beta=93.29 gamma=152.29
Sites, in units of the cell vectors:
Se (0.675, 0.325, 0.000)
Se (0.000, 0.000, 0.000)
Se (0.325, 0.675, 0.000)
Se (0.325, 0.325, 0.651)
Se (0.675, 0.675, 0.349)
Fe (0.000, 0.635, 0.635)
Fe (0.000, 0.365, 0.365)
Fe (0.365, 0.000, 0.365)
Fe (0.635, 0.000, 0.635)

Results
- Raw formation energy: 482 meV/atom
- Mass density: 6.51 g/cm3
- Calculated volume: 157.6 Å³ per cell
- VASP energy: -46.94 eV per cell



No. 2
Computed, not measured: a geometry-optimized NaLaGeAu structure at the PBE-GGA level of DFT.

Unit cell a=5.164 b=5.164 c=5.164 alpha=60.00 beta=60.00 gamma=60.00
Sites, in units of the cell vectors:
Au (0.750, 0.750, 0.750)
Ge (0.250, 0.250, 0.250)
Na (0.000, 0.000, 0.000)
La (0.500, 0.500, 0.500)

Results
- Mass density: 7.36 g/cm3
- Calculated volume: 97.4 Å³ per cell
- VASP energy: -16.21 eV per cell
- DFT formation energy: -516 meV per atom



No. 3
Computed, not measured: a geometry-optimized YTlCl2 structure at the PBE-GGA level of DFT.

Unit cell a=5.271 b=5.271 c=5.271 alpha=60.00 beta=60.00 gamma=60.00
Sites, in units of the cell vectors:
Cl (0.000, 0.000, 0.000)
Cl (0.250, 0.250, 0.250)
Y (0.750, 0.750, 0.750)
Tl (0.500, 0.500, 0.500)

Results
- Raw formation energy: -568 meV/atom
- Mass density: 5.84 g/cm3
- Calculated volume: 103.6 Å³ per cell
- VASP energy: -14.80 eV per cell



No. 4
Computed, not measured: a geometry-optimized PS structure at the PBE-GGA level of DFT.

Unit cell a=4.035 b=4.534 c=5.733 alpha=90.47 beta=99.25 gamma=101.50
Sites, in units of the cell vectors:
S (0.098, 0.685, 0.240)
S (0.902, 0.315, 0.760)
P (0.668, 0.336, 0.070)
P (0.332, 0.664, 0.930)

Results
- Raw formation energy: -12 meV/atom
- Mass density: 2.07 g/cm3
- Calculated volume: 101.4 Å³ per cell
- VASP energy: -19.12 eV per cell



No. 5
Computed, not measured: a geometry-optimized Sc2TaRu4 structure at the PBE-GGA level of DFT.

Unit cell a=5.394 b=5.394 c=5.394 alpha=109.20 beta=109.61 gamma=109.61
Sites, in units of the cell vectors:
Ru (0.000, 0.500, 0.000)
Ru (0.000, 0.000, 0.500)
Ru (0.500, 0.500, 0.500)
Ru (0.500, 0.000, 0.000)
Sc (0.500, 0.000, 0.500)
Sc (0.500, 0.500, 0.000)
Ta (0.000, 0.000, 0.000)

Results
- Mass density: 9.28 g/cm3
- Calculated volume: 120.8 Å³ per cell
- VASP energy: -61.69 eV per cell
- DFT formation energy: -10 meV per atom



No. 6
Computed, not measured: a geometry-optimized KBa2Ta structure at the PBE-GGA level of DFT.

Unit cell a=7.040 b=7.040 c=7.040 alpha=134.52 beta=134.52 gamma=66.27
Sites, in units of the cell vectors:
Ta (0.750, 0.250, 0.500)
K (0.500, 0.500, 0.000)
Ba (0.250, 0.750, 0.500)
Ba (0.000, 0.000, 0.000)

Results
- Mass density: 4.70 g/cm3
- Calculated volume: 174.6 Å³ per cell
- VASP energy: -12.19 eV per cell
- DFT formation energy: 1151 meV per atom



No. 7
Computed, not measured: a geometry-optimized Tm4Ti6O19 structure at the PBE-GGA level of DFT.

Unit cell a=7.733 b=7.733 c=7.733 alpha=109.47 beta=109.47 gamma=109.47
Sites, in units of the cell vectors:
O (0.673, 0.035, 0.279)
O (0.756, 0.394, 0.721)
O (0.035, 0.279, 0.673)
O (0.394, 0.721, 0.756)
O (0.965, 0.638, 0.244)
O (0.000, 0.000, 0.000)
O (0.638, 0.244, 0.965)
O (0.000, 0.649, 0.649)
O (0.721, 0.756, 0.394)
O (0.327, 0.606, 0.362)
O (0.649, 0.649, 0.000)
O (0.244, 0.965, 0.638)
O (0.279, 0.673, 0.035)
O (0.362, 0.327, 0.606)
O (0.351, 0.351, 0.000)
O (0.649, 0.000, 0.649)
O (0.351, 0.000, 0.351)
O (0.000, 0.351, 0.351)
O (0.606, 0.362, 0.327)
Ti (0.162, 0.662, 0.500)
Ti (0.500, 0.838, 0.338)
Ti (0.338, 0.500, 0.838)
Ti (0.838, 0.338, 0.500)
Ti (0.662, 0.500, 0.162)
Ti (0.500, 0.162, 0.662)
Tm (0.705, 0.000, 0.000)
Tm (0.000, 0.705, 0.000)
Tm (0.295, 0.295, 0.295)
Tm (0.000, 0.000, 0.705)

Results
- Raw formation energy: -3004 meV/atom
- Mass density: 5.91 g/cm3
- Calculated volume: 356.0 Å³ per cell
- VASP energy: -246.57 eV per cell



No. 8
Computed, not measured: a geometry-optimized Np4Tc7Ge6 structure at the PBE-GGA level of DFT.

Unit cell a=7.231 b=7.231 c=7.231 alpha=109.47 beta=109.47 gamma=109.47
Sites, in units of the cell vectors:
Np (0.500, 0.000, 0.000)
Np (0.000, 0.500, 0.000)
Np (0.000, 0.000, 0.500)
Np (0.500, 0.500, 0.500)
Ge (0.693, 0.693, 0.000)
Ge (0.000, 0.307, 0.307)
Ge (0.693, 0.000, 0.693)
Ge (0.307, 0.307, 0.000)
Ge (0.000, 0.693, 0.693)
Ge (0.307, 0.000, 0.307)
Tc (0.250, 0.750, 0.500)
Tc (0.500, 0.250, 0.750)
Tc (0.000, 0.000, 0.000)
Tc (0.750, 0.250, 0.500)
Tc (0.750, 0.500, 0.250)
Tc (0.250, 0.500, 0.750)
Tc (0.500, 0.750, 0.250)

Results
- Mass density: 11.81 g/cm3
- Calculated volume: 291.0 Å³ per cell
- VASP energy: -157.14 eV per cell
- DFT formation energy: -301 meV per atom



- Among the records above, which one has the lowest mass density?
  PS



- The lowest VASP energy belongs to which entry?
  Tm4Ti6O19



Copy entry 5 word for word.
Computed, not measured: a geometry-optimized Sc2TaRu4 structure at the PBE-GGA level of DFT.

Unit cell a=5.394 b=5.394 c=5.394 alpha=109.20 beta=109.61 gamma=109.61
Sites, in units of the cell vectors:
Ru (0.000, 0.500, 0.000)
Ru (0.000, 0.000, 0.500)
Ru (0.500, 0.500, 0.500)
Ru (0.500, 0.000, 0.000)
Sc (0.500, 0.000, 0.500)
Sc (0.500, 0.500, 0.000)
Ta (0.000, 0.000, 0.000)

Results
- Mass density: 9.28 g/cm3
- Calculated volume: 120.8 Å³ per cell
- VASP energy: -61.69 eV per cell
- DFT formation energy: -10 meV per atom